The following is a PBE-GGA calculation of a relaxed structure of ZrZnAg2, from Alexandria via LeMat-Bulk.

a = 4.826 Å, b = 4.826 Å, c = 3.232 Å
α = 90.00°, β = 90.00°, γ = 90.00°
Space group P4/mmm (No. 123)
Inequivalent atoms, fractional coordinates:
Zr: 0.000 0.000 0.000 x1
Zn: 0.500 0.500 0.000 x1
Ag: 0.000 0.500 0.500 x2

Results
The calculation puts the density of states at the Fermi level at 0.2696 states/eV/atom. The energy of formation comes out at 0.098 eV per atom. The calculation puts the total energy at -3.78 eV/atom. The magnetic moment is 0.00 μB/f.u.



The following is a PBE-GGA calculation of a relaxed structure of Zr2ZnAg, from Alexandria via LeMat-Bulk.

a = 2.999 Å, b = 4.146 Å, c = 6.236 Å
α = 90.00°, β = 90.32°, γ = 90.00°
Space group P2/m (No. 10)
Inequivalent atoms, fractional coordinates:
Zr: 0.001 0.000 0.242 x2
Zn: 0.500 0.500 0.000 x1
Ag: 0.500 0.500 0.500 x1

Results
The calculation puts the density of states at the Fermi level at 1.0599 states/eV/atom. The energy of formation comes out at -0.114 eV per atom. The calculation puts the total energy at -5.42 eV/atom. The magnetic moment is 0.00 μB/f.u.



The following is a PBE-GGA calculation of a relaxed structure of Zr2ZnAg2, from Alexandria via LeMat-Bulk.

a = 8.259 Å, b = 8.259 Å, c = 3.066 Å
α = 90.00°, β = 90.00°, γ = 90.00°
Space group P4/mbm (No. 127)
Inequivalent atoms, fractional coordinates:
Zr: 0.173 0.327 0.000 x4
Zn: 0.000 0.000 0.000 x2
Ag: 0.123 0.623 0.500 x4

Results
The calculation puts the density of states at the Fermi level at 0.7910 states/eV/atom. The energy above the lowest structure with this stoichiometry comes out at 0.65 eV per formula unit. The energy of formation comes out at 0.199 eV per atom. The calculation puts the total energy at -4.62 eV/atom. The magnetic moment is 0.00 μB/f.u.



The following is a PBE-GGA calculation of a relaxed structure of Zr4ZnAg, from Alexandria via LeMat-Bulk.

a = 3.284 Å, b = 3.284 Å, c = 11.704 Å
α = 90.00°, β = 90.00°, γ = 90.00°
Space group P4/mmm (No. 123)
Inequivalent atoms, fractional coordinates:
Zr: 0.000 0.000 0.151 x2
Zr: 0.500 0.500 0.331 x2
Zn: 0.500 0.500 0.000 x1
Ag: 0.000 0.000 0.500 x1

Results
The calculation puts the density of states at the Fermi level at 0.7333 states/eV/atom. The energy above the lowest structure with this stoichiometry comes out at 0.00 eV per formula unit. The energy of formation comes out at -0.141 eV per atom. The calculation puts the total energy at -6.53 eV/atom. The magnetic moment is 0.00 μB/f.u.



The following is a PBE-GGA calculation of a relaxed structure of Zr4ZnAg, from Alexandria via LeMat-Bulk.

a = 8.071 Å, b = 8.071 Å, c = 8.071 Å
α = 90.00°, β = 90.00°, γ = 90.00°
Space group F-43m (No. 216)
Inequivalent atoms, fractional coordinates:
Zr: 0.125 0.125 0.125 x16
Zn: 0.000 0.000 0.500 x4
Ag: 0.250 0.250 0.750 x4

Results
The calculation puts the density of states at the Fermi level at 0.7704 states/eV/atom. The energy above the lowest structure with this stoichiometry comes out at 3.13 eV per formula unit. The energy of formation comes out at 0.380 eV per atom. The calculation puts the total energy at -6.01 eV/atom. The magnetic moment is 0.00 μB/f.u.



The following is a PBE-GGA calculation of a relaxed structure of ZrZnAg2, from Alexandria via LeMat-Bulk.

a = 2.882 Å, b = 4.390 Å, c = 5.983 Å
α = 90.00°, β = 103.48°, γ = 90.00°
Space group Pm (No. 6)
Inequivalent atoms, fractional coordinates:
Zr: 0.000 0.000 0.000 x1
Zn: 0.389 0.500 0.771 x1
Ag: 0.256 0.000 0.517 x1
Ag: 0.638 0.500 0.280 x1

Results
The calculation puts the density of states at the Fermi level at 0.7048 states/eV/atom. The energy of formation comes out at -0.041 eV per atom. The calculation puts the total energy at -3.92 eV/atom. The magnetic moment is 0.00 μB/f.u.



The following is a PBE-GGA calculation of a relaxed structure of Zr2Zn2Ag, from Alexandria via LeMat-Bulk.

a = 6.808 Å, b = 6.808 Å, c = 4.046 Å
α = 90.00°, β = 90.00°, γ = 90.00°
Space group P4/mbm (No. 127)
Inequivalent atoms, fractional coordinates:
Zr: 0.168 0.332 0.000 x4
Zn: 0.131 0.631 0.500 x4
Ag: 0.000 0.000 0.500 x2

Results
The calculation puts the density of states at the Fermi level at 0.7023 states/eV/atom. The energy above the lowest structure with this stoichiometry comes out at 0.00 eV per formula unit. The energy of formation comes out at -0.195 eV per atom. The calculation puts the total energy at -4.69 eV/atom. The magnetic moment is 0.00 μB/f.u.



The following is a PBE-GGA calculation of a relaxed structure of ZrZnAg2, from Alexandria via LeMat-Bulk.

a = 3.0149 Å, b = 3.0149 Å, c = 28.3847 Å
α = 90.00°, β = 90.00°, γ = 120.00°
Space group R3m (No. 160, hexagonal axes)
Inequivalent atoms, fractional coordinates:
Zr: 0.0000 0.0000 0.0000 x3
Zn: 0.0000 0.0000 0.2478 x3
Ag: 0.0000 0.0000 0.5056 x3
Ag: 0.0000 0.0000 0.7554 x3

Results
The calculation puts the density of states at the Fermi level at 0.5093 states/eV/atom. The energy of formation comes out at 0.011 eV per atom. The calculation puts the total energy at -3.87 eV/atom. The magnetic moment is 0.00 μB/f.u.



The following is a PBE-GGA calculation of a relaxed structure of Zr4Zn5Ag, from Alexandria via LeMat-Bulk.

a = 3.288 Å, b = 3.288 Å, c = 16.812 Å
α = 90.00°, β = 90.00°, γ = 90.00°
Space group P4/mmm (No. 123)
Inequivalent atoms, fractional coordinates:
Zr: 0.000 0.000 0.101 x2
Zr: 0.000 0.000 0.307 x2
Zn: 0.500 0.500 0.000 x1
Zn: 0.500 0.500 0.203 x2
Zn: 0.500 0.500 0.410 x2
Ag: 0.000 0.000 0.500 x1

Results
The calculation puts the density of states at the Fermi level at 0.3638 states/eV/atom. The energy of formation comes out at -0.220 eV per atom. The calculation puts the total energy at -4.56 eV/atom. The magnetic moment is 0.00 μB/f.u.



The following is a PBE-GGA calculation of a relaxed structure of Zr2ZnAg, from Alexandria via LeMat-Bulk.

a = 3.153 Å, b = 5.046 Å, c = 9.886 Å
α = 90.00°, β = 90.00°, γ = 90.00°
Space group Imm2 (No. 44)
Inequivalent atoms, fractional coordinates:
Zr: 0.000 0.000 0.000 x2
Zr: 0.000 0.500 0.234 x2
Zn: 0.000 0.000 0.482 x2
Ag: 0.000 0.500 0.766 x2

Results
The calculation puts the density of states at the Fermi level at 1.0755 states/eV/atom. The energy of formation comes out at -0.082 eV per atom. The calculation puts the total energy at -5.39 eV/atom. The magnetic moment is 0.00 μB/f.u.



The following is a PBE-GGA calculation of a relaxed structure of Zr3Zn4Ag2, from Alexandria via LeMat-Bulk.

a = 8.075 Å, b = 4.653 Å, c = 8.600 Å
α = 90.00°, β = 90.20°, γ = 90.00°
Space group C2/m (No. 12)
Inequivalent atoms, fractional coordinates:
Zr: 0.000 0.000 0.000 x2
Zr: 0.167 0.500 0.230 x4
Zn: 0.000 0.000 0.348 x4
Zn: 0.167 0.500 0.891 x4
Ag: 0.166 0.500 0.574 x4

Results
The calculation puts the density of states at the Fermi level at 0.3926 states/eV/atom. The energy of formation comes out at -0.154 eV per atom. The calculation puts the total energy at -4.20 eV/atom. The magnetic moment is 0.00 μB/f.u.



The following is a PBE-GGA calculation of a relaxed structure of ZrZn9Ag2, from Alexandria via LeMat-Bulk.

a = 5.1602 Å, b = 5.1602 Å, c = 24.7169 Å
α = 90.00°, β = 90.00°, γ = 120.00°
Space group R-3m (No. 166, hexagonal axes)
Inequivalent atoms, fractional coordinates:
Zr: 0.0000 0.0000 0.0000 x3
Zn: 0.0000 0.0000 0.3336 x6
Zn: 0.0000 0.0000 0.5000 x3
Zn: 0.0047 0.5024 0.9152 x18
Ag: 0.0000 0.0000 0.1392 x6

Results
The calculation puts the density of states at the Fermi level at 0.4499 states/eV/atom. The energy of formation comes out at -0.052 eV per atom. The calculation puts the total energy at -2.20 eV/atom. The magnetic moment is 0.00 μB/f.u.



The following is a PBE-GGA calculation of a relaxed structure of Zr4ZnAg, from Alexandria via LeMat-Bulk.

a = 12.650 Å, b = 12.650 Å, c = 12.650 Å
α = 90.00°, β = 90.00°, γ = 90.00°
Space group F-43m (No. 216)
Inequivalent atoms, fractional coordinates:
Zr: 0.000 0.000 0.185 x24
Zr: 0.064 0.250 0.250 x24
Zr: 0.130 0.130 0.630 x16
Zn: 0.156 0.156 0.844 x16
Ag: 0.084 0.084 0.416 x16

Results
The calculation puts the density of states at the Fermi level at 1.1474 states/eV/atom. The energy above the lowest structure with this stoichiometry comes out at 0.62 eV per formula unit. The energy of formation comes out at -0.039 eV per atom. The calculation puts the total energy at -6.42 eV/atom. The magnetic moment is 0.00 μB/f.u.